1.
The following is a DFT calculation (PBE) of a relaxed AgPb2F crystal.

Computed properties:
The calculation puts the offset from the most stable computed form at 0.00 eV/f.u. For the magnetization, the calculation gives 0.0 Bohr magnetons per cell. Its total energy is -3.584 eV/atom. The energy relative to the elements, uncorrected comes out at -0.549 eV per atom. Its space group is Fm-3m (225).

a = 4.980 Å, b = 4.980 Å, c = 4.980 Å
α = 60.00°, β = 60.00°, γ = 60.00°
Fractional coordinates of all 4 atoms:
Pb (0.250, 0.250, 0.250)
Pb (0.750, 0.750, 0.750)
Ag (0.500, 0.500, 0.500)
F (0.000, 0.000, 0.000)

2.
The following is a DFT calculation (PBE) of a relaxed Pm2SnSe crystal.

Computed properties:
The calculation puts the offset from the most stable computed form at 0.64 eV/f.u. For the magnetization, the calculation gives 0.0 Bohr magnetons per cell. Its total energy is -5.393 eV/atom. The energy relative to the elements, uncorrected comes out at -1.146 eV per atom. Its space group is R3m (160).

a = 4.244 Å, b = 4.244 Å, c = 8.062 Å
α = 74.74°, β = 74.74°, γ = 60.00°
Fractional coordinates of all 4 atoms:
Pm (0.084, 0.084, 0.749)
Pm (0.251, 0.251, 0.248)
Sn (0.668, 0.668, 0.997)
Se (0.498, 0.498, 0.506)

Question: total energy of number 1 (AgPb2F)?
Answer: -3.584 eV/atom

Question: The highest offset from the most stable computed form belongs to which entry?
Answer: Pm2SnSe

Question: Among the records above, which one has the highest total energy?
Answer: AgPb2F